[1]
# Pm3Zn2Rh3 | the Alexandria database | PBE | optimized geometry
data_Pm3Zn2Rh3
_chemical_formula_sum 'Pm6 Zn4 Rh6'
_symmetry_space_group_name_H-M 'P 63/m c m'
_symmetry_Int_Tables_number 193
_symmetry_space_group_name_Hall '-P 6c 2'
_cell_length_a 8.2167
_cell_length_b 8.2167
_cell_length_c 5.6819
_cell_angle_alpha 90.00
_cell_angle_beta 90.00
_cell_angle_gamma 120.00
loop_
_atom_site_label
_atom_site_type_symbol
_atom_site_fract_x
_atom_site_fract_y
_atom_site_fract_z
_atom_site_occupancy
Pm1 Pm 0.0000 0.2728 0.2500 1
Zn1 Zn 0.3333 0.6667 0.0000 1
Rh1 Rh 0.0000 0.3969 0.7500 1
# Electronic total energy = -5.398 eV/atom
# Crystal system = hexagonal
# Excess energy over the best structure of this formula in the dataset = 93.8 meV per atom
# Formation energy from the elements = -0.54 eV per atom

***

[2]
# Pm4ZnRh2 | the Alexandria database | PBE | optimized geometry
data_Pm4ZnRh2
_chemical_formula_sum 'Pm16 Zn4 Rh8'
_symmetry_space_group_name_H-M 'C 1 m 1'
_symmetry_Int_Tables_number 8
_symmetry_space_group_name_Hall 'C -2y'
_cell_length_a 11.4817
_cell_length_b 9.0533
_cell_length_c 7.6324
_cell_angle_alpha 90.00
_cell_angle_beta 110.20
_cell_angle_gamma 90.00
loop_
_atom_site_label
_atom_site_type_symbol
_atom_site_fract_x
_atom_site_fract_y
_atom_site_fract_z
_atom_site_occupancy
Pm1 Pm 0.0000 0.0000 0.0000 1
Pm2 Pm 0.0009 0.0000 0.4885 1
Pm3 Pm 0.2191 0.2339 0.3532 1
Pm4 Pm 0.2281 0.2360 0.8580 1
Pm5 Pm 0.4867 0.0000 0.4761 1
Pm6 Pm 0.4941 0.0000 0.0030 1
Zn1 Zn 0.2759 0.5000 0.6332 1
Zn2 Zn 0.2816 0.5000 0.1329 1
Rh1 Rh 0.2669 0.0000 0.1206 1
Rh2 Rh 0.2790 0.0000 0.6389 1
Rh3 Rh 0.4447 0.2610 0.2139 1
# Electronic total energy = -5.504 eV/atom
# Crystal system = monoclinic
# Excess energy over the best structure of this formula in the dataset = 0.0 meV per atom
# Formation energy from the elements = -0.51 eV per atom

***

[3]
# Pm3ZnRh | the Alexandria database | PBE | optimized geometry
data_Pm3ZnRh
_chemical_formula_sum 'Pm12 Zn4 Rh4'
_symmetry_space_group_name_H-M 'C 1 2/m 1'
_symmetry_Int_Tables_number 12
_symmetry_space_group_name_Hall '-C 2y'
_cell_length_a 9.7216
_cell_length_b 6.4438
_cell_length_c 9.4927
_cell_angle_alpha 90.00
_cell_angle_beta 120.69
_cell_angle_gamma 90.00
loop_
_atom_site_label
_atom_site_type_symbol
_atom_site_fract_x
_atom_site_fract_y
_atom_site_fract_z
_atom_site_occupancy
Pm1 Pm 0.0821 0.0000 0.2942 1
Pm2 Pm 0.1951 0.5000 0.8913 1
Pm3 Pm 0.2131 0.5000 0.2965 1
Zn1 Zn 0.0000 0.3069 0.5000 1
Rh1 Rh 0.0000 0.2507 0.0000 1
# Electronic total energy = -4.992 eV/atom
# Crystal system = monoclinic
# Formation energy from the elements = -0.42 eV per atom

***

[4]
# Pm3Zn2Rh7 | the Alexandria database | PBE | optimized geometry
data_Pm3Zn2Rh7
_chemical_formula_sum 'Pm9 Zn6 Rh21'
_symmetry_space_group_name_H-M 'R -3 m'
_symmetry_Int_Tables_number 166
_symmetry_space_group_name_Hall '-R 3 2"'
_cell_length_a 5.4426
_cell_length_b 5.4426
_cell_length_c 25.1351
_cell_angle_alpha 90.00
_cell_angle_beta 90.00
_cell_angle_gamma 120.00
loop_
_atom_site_label
_atom_site_type_symbol
_atom_site_fract_x
_atom_site_fract_y
_atom_site_fract_z
_atom_site_occupancy
Pm1 Pm 0.0000 0.0000 0.0000 1
Pm2 Pm 0.0000 0.0000 0.1403 1
Zn1 Zn 0.0000 0.0000 0.3343 1
Rh1 Rh 0.0000 0.0000 0.5000 1
Rh2 Rh 0.0034 0.5017 0.9178 1
# Electronic total energy = -6.304 eV/atom
# Crystal system = trigonal
# Formation energy from the elements = -0.62 eV per atom

***

[5]
# Pm2Zn5Rh4 | the Alexandria database | PBE | optimized geometry
data_Pm2Zn5Rh4
_chemical_formula_sum 'Pm8 Zn20 Rh16'
_symmetry_space_group_name_H-M 'F m m m'
_symmetry_Int_Tables_number 69
_symmetry_space_group_name_Hall '-F 2 2'
_cell_length_a 5.3514
_cell_length_b 9.3667
_cell_length_c 16.0797
_cell_angle_alpha 90.00
_cell_angle_beta 90.00
_cell_angle_gamma 90.00
loop_
_atom_site_label
_atom_site_type_symbol
_atom_site_fract_x
_atom_site_fract_y
_atom_site_fract_z
_atom_site_occupancy
Pm1 Pm 0.0000 0.0000 0.1456 1
Zn1 Zn 0.0000 0.0000 0.5000 1
Zn2 Zn 0.2500 0.2500 0.0000 1
Zn3 Zn 0.2500 0.2500 0.2500 1
Rh1 Rh 0.0000 0.1552 0.3719 1
# Electronic total energy = -4.575 eV/atom
# Crystal system = orthorhombic
# Formation energy from the elements = -0.46 eV per atom

***

[6]
# PmZn6Rh4 | the Alexandria database | PBE | optimized geometry
data_PmZn6Rh4
_chemical_formula_sum 'Pm2 Zn12 Rh8'
_symmetry_space_group_name_H-M 'I -4 2 m'
_symmetry_Int_Tables_number 121
_symmetry_space_group_name_Hall 'I -4 2'
_cell_length_a 6.5476
_cell_length_b 6.5476
_cell_length_c 9.4003
_cell_angle_alpha 90.00
_cell_angle_beta 90.00
_cell_angle_gamma 90.00
loop_
_atom_site_label
_atom_site_type_symbol
_atom_site_fract_x
_atom_site_fract_y
_atom_site_fract_z
_atom_site_occupancy
Pm1 Pm 0.0000 0.0000 0.0000 1
Zn1 Zn 0.0000 0.5000 0.0000 1
Zn2 Zn 0.1876 0.1876 0.3002 1
Rh1 Rh 0.1739 0.1739 0.5778 1
# Electronic total energy = -4.007 eV/atom
# Crystal system = tetragonal
# Formation energy from the elements = -0.21 eV per atom

***

[7]
# Pm3Zn2Rh3 | the Alexandria database | PBE | optimized geometry
data_Pm3Zn2Rh3
_chemical_formula_sum 'Pm12 Zn8 Rh12'
_symmetry_space_group_name_H-M 'C m c m'
_symmetry_Int_Tables_number 63
_symmetry_space_group_name_Hall '-C 2c 2'
_cell_length_a 4.0982
_cell_length_b 11.7343
_cell_length_c 14.0555
_cell_angle_alpha 90.00
_cell_angle_beta 90.00
_cell_angle_gamma 90.00
loop_
_atom_site_label
_atom_site_type_symbol
_atom_site_fract_x
_atom_site_fract_y
_atom_site_fract_z
_atom_site_occupancy
Pm1 Pm 0.0000 0.0730 0.1112 1
Pm2 Pm 0.0000 0.3441 0.2500 1
Zn1 Zn 0.0000 0.2264 0.5804 1
Rh1 Rh 0.0000 0.3397 0.7500 1
Rh2 Rh 0.0000 0.3975 0.0467 1
# Electronic total energy = -5.492 eV/atom
# Crystal system = orthorhombic
# Excess energy over the best structure of this formula in the dataset = 0.0 meV per atom
# Formation energy from the elements = -0.64 eV per atom

***

[8]
# Pm2Zn3Rh4 | the Alexandria database | PBE | optimized geometry
data_Pm2Zn3Rh4
_chemical_formula_sum 'Pm8 Zn12 Rh16'
_symmetry_space_group_name_H-M 'C m c e'
_symmetry_Int_Tables_number 64
_symmetry_space_group_name_Hall '-C 2ac 2'
_cell_length_a 5.6385
_cell_length_b 15.5326
_cell_length_c 7.3104
_cell_angle_alpha 90.00
_cell_angle_beta 90.00
_cell_angle_gamma 90.00
loop_
_atom_site_label
_atom_site_type_symbol
_atom_site_fract_x
_atom_site_fract_y
_atom_site_fract_z
_atom_site_occupancy
Pm1 Pm 0.0000 0.1048 0.0892 1
Zn1 Zn 0.0000 0.0000 0.5000 1
Zn2 Zn 0.2500 0.2344 0.7500 1
Rh1 Rh 0.0000 0.1705 0.4845 1
Rh2 Rh 0.2500 0.0683 0.7500 1
# Electronic total energy = -5.328 eV/atom
# Crystal system = orthorhombic
# Formation energy from the elements = -0.58 eV per atom

***

[9]
# Pm2Zn5Rh5 | the Alexandria database | PBE | optimized geometry
data_Pm2Zn5Rh5
_chemical_formula_sum 'Pm2 Zn5 Rh5'
_symmetry_space_group_name_H-M 'P m m m'
_symmetry_Int_Tables_number 47
_symmetry_space_group_name_Hall '-P 2 2'
_cell_length_a 4.0180
_cell_length_b 5.6108
_cell_length_c 9.2058
_cell_angle_alpha 90.00
_cell_angle_beta 90.00
_cell_angle_gamma 90.00
loop_
_atom_site_label
_atom_site_type_symbol
_atom_site_fract_x
_atom_site_fract_y
_atom_site_fract_z
_atom_site_occupancy
Pm1 Pm 0.0000 0.0000 0.0000 1
Pm2 Pm 0.0000 0.5000 0.5000 1
Zn1 Zn 0.0000 0.0000 0.3286 1
Zn2 Zn 0.0000 0.5000 0.1681 1
Zn3 Zn 0.5000 0.0000 0.5000 1
Rh1 Rh 0.5000 0.2527 0.2589 1
Rh2 Rh 0.5000 0.5000 0.0000 1
# Electronic total energy = -4.914 eV/atom
# Crystal system = orthorhombic
# Formation energy from the elements = -0.53 eV per atom

***

[10]
# Pm2Zn4Rh3 | the Alexandria database | PBE | optimized geometry
data_Pm2Zn4Rh3
_chemical_formula_sum 'Pm8 Zn16 Rh12'
_symmetry_space_group_name_H-M 'C m c e'
_symmetry_Int_Tables_number 64
_symmetry_space_group_name_Hall '-C 2ac 2'
_cell_length_a 5.8842
_cell_length_b 14.7361
_cell_length_c 7.6234
_cell_angle_alpha 90.00
_cell_angle_beta 90.00
_cell_angle_gamma 90.00
loop_
_atom_site_label
_atom_site_type_symbol
_atom_site_fract_x
_atom_site_fract_y
_atom_site_fract_z
_atom_site_occupancy
Pm1 Pm 0.0000 0.1240 0.0873 1
Zn1 Zn 0.0000 0.1768 0.4845 1
Zn2 Zn 0.2500 0.0517 0.7500 1
Rh1 Rh 0.0000 0.0000 0.5000 1
Rh2 Rh 0.2500 0.2289 0.7500 1
# Electronic total energy = -4.602 eV/atom
# Crystal system = orthorhombic
# Formation energy from the elements = -0.53 eV per atom

***

Question: Which formula does entry 9 have?
Answer: Pm2Zn5Rh5

***

Question: Among the records above, which one has the highest electronic total energy?
Answer: PmZn6Rh4

***

Question: What is the formula in the eighth record?
Answer: Pm2Zn3Rh4

***

Question: What is the formula in the seventh record?
Answer: Pm3Zn2Rh3